Compound: Er2TlH2
Source: the Alexandria database
Functional: PBE
Structure: optimized geometry

a = 7.452 Å, b = 6.367 Å, c = 5.803 Å
α = 75.35°, β = 55.76°, γ = 48.89°
Element x y z (fractional)
Er1 0.054 0.696 0.054
Er2 0.304 0.946 0.304
Er3 0.696 0.054 0.696
Er4 0.946 0.304 0.946
Tl1 0.375 0.375 0.375
Tl2 0.625 0.625 0.625
H1 0.005 0.005 0.245
H2 0.245 0.245 0.005
H3 0.755 0.755 0.995
H4 0.995 0.995 0.755

Results
- electronic total energy (eV/atom) = -4.131
- calculated volume (Å³ per atom) = 16.85
- SG = Fddd, No. 70
- energy above the most stable polymorph in this dataset (eV per atom) = 0.089

Compound: ErTlH
Source: the Alexandria database
Functional: PBE
Structure: optimized geometry

a = 3.211 Å, b = 3.211 Å, c = 11.661 Å
α = 90.00°, β = 90.00°, γ = 90.00°
Element x y z (fractional)
Er1 0.000 0.000 0.000
Er2 0.500 0.500 0.500
Tl1 0.000 0.000 0.271
Tl2 0.500 0.500 0.771
H1 0.000 0.000 0.534
H2 0.500 0.500 0.034

Results
- electronic total energy (eV/atom) = -3.554
- calculated volume (Å³ per atom) = 20.04
- SG = I4mm, No. 107
- energy above the most stable polymorph in this dataset (eV per atom) = 0.288

Compound: Er2Tl2H
Source: the Alexandria database
Functional: PBE
Structure: optimized geometry

a = 6.295 Å, b = 6.295 Å, c = 10.348 Å
α = 90.00°, β = 90.00°, γ = 146.04°
Element x y z (fractional)
Er1 0.052 0.948 0.500
Er2 0.343 0.657 0.267
Er3 0.657 0.343 0.767
Er4 0.948 0.052 0.000
Tl1 0.220 0.780 0.004
Tl2 0.400 0.600 0.719
Tl3 0.600 0.400 0.219
Tl4 0.780 0.220 0.504
H1 0.105 0.895 0.692
H2 0.895 0.105 0.192

Results
- electronic total energy (eV/atom) = -3.771
- calculated volume (Å³ per atom) = 22.91
- SG = Cmc2_1, No. 36

Compound: Er4Tm2Tl3H2
Source: the Alexandria database
Functional: PBE
Structure: optimized geometry

a = 12.573 Å, b = 12.573 Å, c = 12.573 Å
α = 158.52°, β = 158.52°, γ = 30.56°
Element x y z (fractional)
Er1 0.085 0.585 0.500
Er2 0.415 0.915 0.500
Er3 0.585 0.085 0.500
Er4 0.915 0.415 0.500
Tm1 0.197 0.197 0.000
Tm2 0.803 0.803 0.000
Tl1 0.325 0.325 0.000
Tl2 0.500 0.500 0.000
Tl3 0.675 0.675 0.000
H1 0.102 0.102 0.000
H2 0.898 0.898 0.000

Results
- electronic total energy (eV/atom) = -3.979
- calculated volume (Å³ per atom) = 24.21
- SG = I4/mmm, No. 139

Compound: Er2Tm4Tl3H2
Source: the Alexandria database
Functional: PBE
Structure: optimized geometry

a = 12.538 Å, b = 12.538 Å, c = 12.538 Å
α = 158.49°, β = 158.49°, γ = 30.61°
Element x y z (fractional)
Er1 0.197 0.197 0.000
Er2 0.803 0.803 0.000
Tm1 0.084 0.584 0.500
Tm2 0.416 0.916 0.500
Tm3 0.584 0.084 0.500
Tm4 0.916 0.416 0.500
Tl1 0.326 0.326 0.000
Tl2 0.500 0.500 0.000
Tl3 0.674 0.674 0.000
H1 0.101 0.101 0.000
H2 0.899 0.899 0.000

Results
- electronic total energy (eV/atom) = -3.966
- calculated volume (Å³ per atom) = 24.08
- SG = I4/mmm, No. 139

Compound: Y2Er4Tl3H2
Source: the Alexandria database
Functional: PBE
Structure: optimized geometry

a = 12.614 Å, b = 12.614 Å, c = 12.614 Å
α = 158.47°, β = 158.47°, γ = 30.64°
Element x y z (fractional)
Y1 0.197 0.197 0.000
Y2 0.803 0.803 0.000
Er1 0.084 0.584 0.500
Er2 0.416 0.916 0.500
Er3 0.584 0.084 0.500
Er4 0.916 0.416 0.500
Tl1 0.326 0.326 0.000
Tl2 0.500 0.500 0.000
Tl3 0.674 0.674 0.000
H1 0.101 0.101 0.000
H2 0.899 0.899 0.000

Results
- electronic total energy (eV/atom) = -4.377
- calculated volume (Å³ per atom) = 24.56
- SG = I4/mmm, No. 139

Compound: ErTm2H
Source: the Alexandria database
Functional: PBE
Structure: optimized geometry

a = 3.302 Å, b = 3.302 Å, c = 8.320 Å
α = 90.00°, β = 90.00°, γ = 90.00°
Element x y z (fractional)
Er1 0.000 0.000 0.000
Tm1 0.500 0.500 0.307
Tm2 0.500 0.500 0.693
H1 0.000 0.000 0.500

Results
- electronic total energy (eV/atom) = -4.090
- calculated volume (Å³ per atom) = 22.68
- SG = P4/mmm, No. 123
- energy above the most stable polymorph in this dataset (eV per atom) = 0.316

Compound: Er3TmH
Source: the Alexandria database
Functional: PBE
Structure: optimized geometry

a = 4.923 Å, b = 4.923 Å, c = 4.923 Å
α = 90.00°, β = 90.00°, γ = 90.00°
Element x y z (fractional)
Er1 0.000 0.000 0.500
Er2 0.000 0.500 0.000
Er3 0.500 0.000 0.000
Tm1 0.500 0.500 0.500
H1 0.000 0.000 0.000

Results
- electronic total energy (eV/atom) = -4.456
- calculated volume (Å³ per atom) = 23.87
- SG = Pm-3m, No. 221

Compound: Er3TmH8
Source: the Alexandria database
Functional: PBE
Structure: optimized geometry

a = 5.093 Å, b = 5.093 Å, c = 5.093 Å
α = 90.00°, β = 90.00°, γ = 90.00°
Element x y z (fractional)
Er1 0.000 0.000 0.500
Er2 0.000 0.500 0.000
Er3 0.500 0.000 0.000
Tm1 0.500 0.500 0.500
H1 0.251 0.251 0.251
H2 0.251 0.251 0.749
H3 0.251 0.749 0.251
H4 0.251 0.749 0.749
H5 0.749 0.251 0.251
H6 0.749 0.251 0.749
H7 0.749 0.749 0.251
H8 0.749 0.749 0.749

Results
- electronic total energy (eV/atom) = -4.470
- calculated volume (Å³ per atom) = 11.01
- SG = Pm-3m, No. 221

Compound: ErTmH
Source: the Alexandria database
Functional: PBE
Structure: optimized geometry

a = 3.569 Å, b = 3.569 Å, c = 5.473 Å
α = 90.00°, β = 90.00°, γ = 120.00°
Element x y z (fractional)
Er1 0.000 0.000 0.000
Tm1 0.333 0.667 0.492
H1 0.667 0.333 0.247

Results
- electronic total energy (eV/atom) = -4.378
- calculated volume (Å³ per atom) = 20.12
- SG = P3m1, No. 156
- energy above the most stable polymorph in this dataset (eV per atom) = 0.004

Compound: ErTm2H
Source: the Alexandria database
Functional: PBE
Structure: optimized geometry

a = 3.541 Å, b = 3.541 Å, c = 24.960 Å
α = 90.00°, β = 90.00°, γ = 120.00°
Element x y z (fractional)
Er1 0.000 0.000 0.000
Er2 0.333 0.667 0.667
Er3 0.667 0.333 0.333
Tm1 0.000 0.000 0.221
Tm2 0.000 0.000 0.779
Tm3 0.333 0.667 0.446
Tm4 0.333 0.667 0.887
Tm5 0.667 0.333 0.113
Tm6 0.667 0.333 0.554
H1 0.000 0.000 0.500
H2 0.333 0.667 0.167
H3 0.667 0.333 0.833

Results
- electronic total energy (eV/atom) = -4.406
- calculated volume (Å³ per atom) = 22.58
- SG = R-3m, No. 166
- energy above the most stable polymorph in this dataset (eV per atom) = 0.000

Compound: ErTmH
Source: the Alexandria database
Functional: PBE
Structure: optimized geometry

a = 3.306 Å, b = 3.306 Å, c = 11.917 Å
α = 90.00°, β = 90.00°, γ = 90.00°
Element x y z (fractional)
Er1 0.000 0.000 0.000
Er2 0.500 0.500 0.500
Tm1 0.000 0.000 0.292
Tm2 0.500 0.500 0.792
H1 0.000 0.000 0.476
H2 0.500 0.500 0.976

Results
- electronic total energy (eV/atom) = -4.237
- calculated volume (Å³ per atom) = 21.70
- SG = I4mm, No. 107
- energy above the most stable polymorph in this dataset (eV per atom) = 0.145

Compound: ErTmH
Source: the Alexandria database
Functional: PBE
Structure: optimized geometry

a = 3.452 Å, b = 3.452 Å, c = 4.902 Å
α = 90.00°, β = 90.00°, γ = 90.00°
Element x y z (fractional)
Er1 0.000 0.000 0.000
Tm1 0.500 0.500 0.500
H1 0.500 0.500 0.000

Results
- electronic total energy (eV/atom) = -4.382
- calculated volume (Å³ per atom) = 19.47
- SG = P4/mmm, No. 123
- energy above the most stable polymorph in this dataset (eV per atom) = 0.000

Compound: ErTm2H8
Source: the Alexandria database
Functional: PBE
Structure: optimized geometry

a = 6.178 Å, b = 6.178 Å, c = 6.178 Å
α = 146.47°, β = 131.70°, γ = 60.08°
Element x y z (fractional)
Er1 0.000 0.000 0.000
Tm1 0.332 0.332 0.000
Tm2 0.668 0.668 0.000
H1 0.098 0.838 0.260
H2 0.157 0.657 0.500
H3 0.271 0.500 0.771
H4 0.423 0.162 0.260
H5 0.577 0.838 0.740
H6 0.729 0.500 0.229
H7 0.843 0.343 0.500
H8 0.902 0.162 0.740

Results
- electronic total energy (eV/atom) = -4.289
- calculated volume (Å³ per atom) = 8.76
- SG = Immm, No. 71

Compound: ErTmH4
Source: the Alexandria database
Functional: PBE
Structure: optimized geometry

a = 6.253 Å, b = 6.253 Å, c = 6.253 Å
α = 132.18°, β = 132.18°, γ = 69.95°
Element x y z (fractional)
Er1 0.375 0.625 0.750
Er2 0.625 0.375 0.250
Tm1 0.125 0.875 0.250
Tm2 0.875 0.125 0.750
H1 0.000 0.248 0.248
H2 0.000 0.752 0.752
H3 0.248 0.000 0.748
H4 0.248 0.500 0.248
H5 0.500 0.248 0.748
H6 0.500 0.752 0.252
H7 0.752 0.000 0.252
H8 0.752 0.500 0.752

Results
- electronic total energy (eV/atom) = -4.450
- calculated volume (Å³ per atom) = 10.97
- SG = I4_1/amd, No. 141

Compound: Er2UH
Source: the Alexandria database
Functional: PBE
Structure: optimized geometry

a = 3.215 Å, b = 3.215 Å, c = 27.689 Å
α = 90.00°, β = 90.00°, γ = 120.00°
Element x y z (fractional)
Er1 0.000 0.000 0.116
Er2 0.000 0.000 0.884
Er3 0.333 0.667 0.551
Er4 0.333 0.667 0.783
Er5 0.667 0.333 0.217
Er6 0.667 0.333 0.449
U1 0.000 0.000 0.000
U2 0.333 0.667 0.667
U3 0.667 0.333 0.333
H1 0.000 0.000 0.500
H2 0.333 0.667 0.167
H3 0.667 0.333 0.833

Results
- electronic total energy (eV/atom) = -5.713
- calculated volume (Å³ per atom) = 20.65
- SG = R-3m, No. 166

Compound: ErV2H
Source: the Alexandria database
Functional: PBE
Structure: optimized geometry

a = 3.068 Å, b = 3.068 Å, c = 22.388 Å
α = 90.00°, β = 90.00°, γ = 120.00°
Element x y z (fractional)
Er1 0.000 0.000 0.000
Er2 0.333 0.667 0.667
Er3 0.667 0.333 0.333
V1 0.000 0.000 0.129
V2 0.000 0.000 0.871
V3 0.333 0.667 0.538
V4 0.333 0.667 0.795
V5 0.667 0.333 0.205
V6 0.667 0.333 0.462
H1 0.000 0.000 0.500
H2 0.333 0.667 0.167
H3 0.667 0.333 0.833

Results
- electronic total energy (eV/atom) = -6.132
- calculated volume (Å³ per atom) = 15.21
- SG = R-3m, No. 166

Compound: ErVH
Source: the Alexandria database
Functional: PBE
Structure: optimized geometry

a = 4.568 Å, b = 4.568 Å, c = 8.121 Å
α = 90.00°, β = 90.00°, γ = 90.00°
Element x y z (fractional)
Er1 0.000 0.000 0.000
Er2 0.000 0.500 0.250
Er3 0.500 0.000 0.750
Er4 0.500 0.500 0.500
V1 0.000 0.000 0.506
V2 0.000 0.500 0.756
V3 0.500 0.000 0.256
V4 0.500 0.500 0.006
H1 0.000 0.000 0.275
H2 0.000 0.500 0.525
H3 0.500 0.000 0.025
H4 0.500 0.500 0.775

Results
- electronic total energy (eV/atom) = -5.505
- calculated volume (Å³ per atom) = 14.12
- SG = I4_1md, No. 109

Compound: ErVH3
Source: the Alexandria database
Functional: PBE
Structure: optimized geometry

a = 3.588 Å, b = 3.588 Å, c = 3.588 Å
α = 90.00°, β = 90.00°, γ = 90.00°
Element x y z (fractional)
Er1 0.000 0.000 0.000
V1 0.500 0.500 0.500
H1 0.000 0.500 0.500
H2 0.500 0.000 0.500
H3 0.500 0.500 0.000

Results
- electronic total energy (eV/atom) = -5.072
- calculated volume (Å³ per atom) = 9.24
- SG = Pm-3m, No. 221

Compound: ErVH2
Source: the Alexandria database
Functional: PBE
Structure: optimized geometry

a = 3.139 Å, b = 3.139 Å, c = 15.143 Å
α = 90.00°, β = 90.00°, γ = 120.00°
Element x y z (fractional)
Er1 0.000 0.000 0.000
Er2 0.333 0.667 0.667
Er3 0.667 0.333 0.333
V1 0.000 0.000 0.500
V2 0.333 0.667 0.167
V3 0.667 0.333 0.833
H1 0.000 0.000 0.222
H2 0.000 0.000 0.778
H3 0.333 0.667 0.444
H4 0.333 0.667 0.889
H5 0.667 0.333 0.111
H6 0.667 0.333 0.556

Results
- electronic total energy (eV/atom) = -5.132
- calculated volume (Å³ per atom) = 10.77
- SG = R-3m, No. 166

Compound: ErH2W
Source: the Alexandria database
Functional: PBE
Structure: optimized geometry

a = 3.354 Å, b = 3.354 Å, c = 15.243 Å
α = 90.00°, β = 90.00°, γ = 120.00°
Element x y z (fractional)
Er1 0.000 0.000 0.000
Er2 0.333 0.667 0.667
Er3 0.667 0.333 0.333
H1 0.000 0.000 0.382
H2 0.000 0.000 0.618
H3 0.333 0.667 0.049
H4 0.333 0.667 0.284
H5 0.667 0.333 0.716
H6 0.667 0.333 0.951
W1 0.000 0.000 0.500
W2 0.333 0.667 0.167
W3 0.667 0.333 0.833

Results
- electronic total energy (eV/atom) = -5.969
- calculated volume (Å³ per atom) = 12.38
- SG = R-3m, No. 166

Compound: ErHW
Source: the Alexandria database
Functional: PBE
Structure: optimized geometry

a = 3.282 Å, b = 3.327 Å, c = 9.023 Å
α = 90.00°, β = 90.00°, γ = 90.00°
Element x y z (fractional)
Er1 0.250 0.250 0.156
Er2 0.750 0.750 0.844
H1 0.250 0.250 0.907
H2 0.750 0.750 0.093
W1 0.250 0.750 0.441
W2 0.750 0.250 0.559

Results
- electronic total energy (eV/atom) = -6.784
- calculated volume (Å³ per atom) = 16.42
- SG = Pmmn, No. 59